A plane-wave DFT calculation with PBE-GGA was carried out for a geometry-optimized CeBi2Pd7 structure.

Properties
Its space-group type is I4/mmm, No. 139. Its total DFT energy (no corrections) is -54.2 eV per cell. As for the density of states at the Fermi level: 6.8 states/eV/f.u. The energy of formation comes out at -0.414 eV per atom. The volume comes out at 20.148 Å³ per atom. The calculation puts the energy relative to the lowest polymorph listed for this composition at 0 meV/atom.

The structure in POSCAR format:
```
CeBi2Pd7
1.0
-0.813 3.208 -2.402
-3.937 -0.182 1.090
4.580 5.941 9.862
Pd Bi Ce
7 2 1
Direct
0.413 0.913 0.827 Pd
0.913 0.413 0.827 Pd
0.750 0.250 0.500 Pd
0.500 0.500 0.000 Pd
0.250 0.750 0.500 Pd
0.087 0.587 0.173 Pd
0.587 0.087 0.173 Pd
0.669 0.669 0.338 Bi
0.331 0.331 0.662 Bi
0.000 0.000 0.000 Ce
```